Computed, not measured: K4AsP after structural relaxation at the PBE level of DFT.

Computed properties:
DOS at the Fermi energy, states/eV/f.u.: 3.45
Formation energy, eV per atom: 0.458

abc: 9.264 9.264 9.264
angles: 90.00 90.00 90.00
Space group F-43m (No. 216)
Unique sites:
K  0.125  0.125  0.125 (multiplicity 16)
As  0.000  0.000  0.500 (multiplicity 4)
P  0.250  0.250  0.750 (multiplicity 4)